1.
Here is crystalline Sc2Tl3Br9 at its relaxed geometry from the Alexandria database. Energies are from GGA-PBE.

Geometry as POSCAR:
```
Sc2Tl3Br9
1.0
0.744 -2.207 9.719
-3.396 -9.382 -0.572
8.894 -4.539 -0.414
Tl Br Sc
6 18 4
Direct
0.250 0.949 0.551
0.051 0.449 0.750
0.551 0.250 0.949
0.750 0.051 0.449
0.949 0.551 0.250
0.449 0.750 0.051
0.406 0.094 0.250
0.271 0.079 0.927
0.073 0.729 0.921
0.094 0.250 0.406
0.229 0.573 0.421
0.421 0.229 0.573
0.921 0.073 0.729
0.079 0.927 0.271
0.250 0.406 0.094
0.729 0.921 0.073
0.573 0.421 0.229
0.927 0.271 0.079
0.750 0.594 0.906
0.771 0.427 0.579
0.594 0.906 0.750
0.427 0.579 0.771
0.906 0.750 0.594
0.579 0.771 0.427
0.153 0.153 0.153
0.847 0.847 0.847
0.347 0.347 0.347
0.653 0.653 0.653
```

- Total magnetization: 0.000 Bohr magnetons per cell
- Uncorrected formation energy: -1.337 eV/atom
- DOS(E_F): 0.00 states/eV/cell
- Crystal system: trigonal

=====

2.
Here is crystalline ScTlBr at its relaxed geometry from the Alexandria database. Energies are from GGA-PBE.

Geometry as POSCAR:
```
ScTlBr
1.0
-1.562 -1.030 4.600
-4.110 -2.703 0.680
0.337 -4.633 1.758
Sc Br Tl
1 1 1
Direct
0.750 0.750 0.750
0.500 0.500 0.500
0.000 0.000 0.000
```

- Total magnetization: 0.292 Bohr magnetons per cell
- Uncorrected formation energy: -0.085 eV/atom
- DOS(E_F): 5.71 states/eV/cell
- Crystal system: cubic

=====

Number 2 is which compound? ScTlBr

=====

DOS(E_F) of number 2 (ScTlBr)? 5.71 states/eV/cell